1.
The following is a PBE-GGA calculation of SnPd2Au after structural relaxation, from the Alexandria database.

Lattice parameters (Å, degrees): 4.1627 4.1627 3.9987 90.00 90.00 90.00
Sites, in units of the cell vectors:
Sn 0.0000 0.0000 0.0000
Pd 0.0000 0.5000 0.5000
Pd 0.5000 0.0000 0.5000
Au 0.5000 0.5000 0.0000

Calculated values
The value obtained for the magnetization is 0.000 μB/f.u. The total energy is -4.77 eV/atom. The formation energy comes out at -0.3585 eV/atom. For the calculated volume, the calculation gives 69.3 Å³/cell.


2.
The following is a PBE-GGA calculation of SiGeSb2Te after structural relaxation, from the Alexandria database.

Lattice parameters (Å, degrees): 5.3341 5.3341 5.3202 90.00 90.00 90.00
Sites, in units of the cell vectors:
Si 0.0000 0.0000 0.0000
Ge 0.5000 0.5000 0.5000
Sb 0.0000 0.5000 0.5000
Sb 0.5000 0.0000 0.5000
Te 0.5000 0.5000 0.0000

Calculated values
As for the uncorrected formation energy: 0.92 eV per atom. The value obtained for the magnetization is 0.000 μB/f.u. The total energy is -3.37 eV/atom. For the calculated volume, the calculation gives 151.4 Å³/cell.


Which formula does entry 2 have? SiGeSb2Te


Which of these has the lowest calculated volume? SnPd2Au


What is the formula in the second record? SiGeSb2Te


What is the magnetization in the second record? 0.000 μB/f.u.